1.
DFT (PBE-GGA) results for a relaxed structure of ErMgSc2Pt4.

a = 8.1522 Å, b = 8.1522 Å, c = 8.1522 Å
α = 33.37°, β = 33.37°, γ = 33.37°
Closest atoms and distances in Å follow each position.
Element x y z (fractional)
Er  0.0000  0.0000  0.0000  8 Pt 2.88-2.89
Mg  0.5000  0.5000  0.5000  8 Pt 2.82-2.87
Sc  0.2452  0.2452  0.2452  8 Pt 2.78-3.06
Sc  0.7548  0.7548  0.7548  8 Pt 2.78-3.06
Pt  0.1248  0.1248  0.1248  4 Sc 2.78-2.83, 3 Mg 2.87, 1 Er 2.88
Pt  0.3777  0.3777  0.3777  1 Mg 2.82, 4 Sc 2.89-3.06, 3 Er 2.89
Pt  0.6223  0.6223  0.6223  1 Mg 2.82, 4 Sc 2.89-3.06, 3 Er 2.89
Pt  0.8752  0.8752  0.8752  4 Sc 2.78-2.83, 3 Mg 2.87, 1 Er 2.88

Properties
density of states at the Fermi level: 4.746 states/eV per cell
SG: R-3m, No. 166
energy: -52.173 eV for the cell shown
DFT formation energy: -1.149 eV/atom

***

2.
DFT (PBE-GGA) results for a relaxed structure of PrHo2Pd.

a = 3.5664 Å, b = 3.5664 Å, c = 8.6885 Å
α = 90.00°, β = 90.00°, γ = 90.00°
Closest atoms and distances in Å follow each position.
Element x y z (fractional)
Pr  0.0000  0.0000  0.0000  4 Pr 3.57, 8 Ho 3.68
Ho  0.5000  0.5000  0.3092  4 Pd 3.02, 1 Ho 3.32
Ho  0.5000  0.5000  0.6908  4 Pd 3.02, 1 Ho 3.32
Pd  0.0000  0.0000  0.5000  8 Ho 3.02

Properties
density of states at the Fermi level: 4.367 states/eV per cell
SG: P4/mmm, No. 123
energy above the lowest structure with this stoichiometry: 25 meV per atom
energy: -20.845 eV for the cell shown
DFT formation energy: -0.429 eV/atom

***

3.
DFT (PBE-GGA) results for a relaxed structure of TlSbSe4.

a = 9.0725 Å, b = 9.0725 Å, c = 7.0009 Å
α = 112.42°, β = 112.42°, γ = 44.58°
Closest atoms and distances in Å follow each position.
Element x y z (fractional)
Tl  0.2283  0.7717  0.7500  6 Se 3.10-3.29
Tl  0.7717  0.2283  0.2500  6 Se 3.10-3.29
Sb  0.0000  0.5000  0.0000  6 Se 2.81-2.99
Sb  0.5000  0.0000  0.5000  6 Se 2.81-2.99
Se  0.1414  0.7161  0.2648  1 Se 2.49
Se  0.1452  0.4478  0.6427  1 Se 2.39
Se  0.2839  0.8586  0.2352  1 Se 2.49
Se  0.4478  0.1452  0.1427  1 Se 2.39
Se  0.5522  0.8548  0.8573  1 Se 2.39
Se  0.7161  0.1414  0.7648  1 Se 2.49
Se  0.8548  0.5522  0.3573  1 Se 2.39
Se  0.8586  0.2839  0.7352  1 Se 2.49

Properties
density of states at the Fermi level: 1.874 states/eV per cell
SG: C2/c, No. 15
formation energy (no corrections): -0.1167 eV per atom
energy above the lowest structure with this stoichiometry: 0 meV per atom
energy: -42.254 eV for the cell shown

***

4.
DFT (PBE-GGA) results for a relaxed structure of LiZnSeBr2.

a = 5.3718 Å, b = 5.3718 Å, c = 4.8901 Å
α = 90.00°, β = 90.00°, γ = 90.00°
Closest atoms and distances in Å follow each position.
Element x y z (fractional)
Li  0.0000  0.0000  0.0000  8 Br 3.63, 4 Se 3.80
Zn  0.5000  0.5000  0.5000  2 Se 2.45, 4 Br 2.69
Se  0.5000  0.5000  0.0000  2 Zn 2.45
Br  0.0000  0.5000  0.5000  2 Zn 2.69
Br  0.5000  0.0000  0.5000  2 Zn 2.69

Properties
density of states at the Fermi level: 3.895 states/eV per cell
SG: P4/mmm, No. 123
formation energy (no corrections): -0.4434 eV per atom
energy above the lowest structure with this stoichiometry: 0 meV per atom
energy: -12.235 eV for the cell shown

***

5.
DFT (PBE-GGA) results for a relaxed structure of ReTeMo2.

a = 6.4531 Å, b = 6.4531 Å, c = 6.4531 Å
α = 90.00°, β = 90.00°, γ = 90.00°
Closest atoms and distances in Å follow each position.
Element x y z (fractional)
Re  0.0000  0.0000  0.0000  4 Te 2.79, 4 Mo 2.79
Re  0.0000  0.5000  0.5000  4 Te 2.79, 4 Mo 2.79
Re  0.5000  0.0000  0.5000  4 Te 2.79, 4 Mo 2.79
Re  0.5000  0.5000  0.0000  4 Te 2.79, 4 Mo 2.79
Te  0.2500  0.2500  0.2500  4 Mo 2.79, 4 Re 2.79
Te  0.2500  0.7500  0.7500  4 Mo 2.79, 4 Re 2.79
Te  0.7500  0.2500  0.7500  4 Mo 2.79, 4 Re 2.79
Te  0.7500  0.7500  0.2500  4 Mo 2.79, 4 Re 2.79
Mo  0.0000  0.0000  0.5000  4 Mo 2.79, 4 Te 2.79
Mo  0.0000  0.5000  0.0000  4 Mo 2.79, 4 Te 2.79
Mo  0.2500  0.2500  0.7500  4 Mo 2.79, 4 Re 2.79
Mo  0.2500  0.7500  0.2500  4 Mo 2.79, 4 Re 2.79
Mo  0.5000  0.0000  0.0000  4 Mo 2.79, 4 Te 2.79
Mo  0.5000  0.5000  0.5000  4 Mo 2.79, 4 Te 2.79
Mo  0.7500  0.2500  0.2500  4 Mo 2.79, 4 Re 2.79
Mo  0.7500  0.7500  0.7500  4 Mo 2.79, 4 Re 2.79

Properties
density of states at the Fermi level: 18.038 states/eV per cell
SG: F-43m, No. 216
formation energy (no corrections): 0.5834 eV per atom
energy: -139.674 eV for the cell shown